First-principles (PBE-GGA) data for a relaxed structure of YCdHgAu, as listed in OQMD via LeMat-Bulk.

abc: 7.0434 7.0434 7.0434
angles: 90.00 90.00 90.00
With the nearest neighbours (Å) after each atom.
Space group F-43m (No. 216)
One atom of each set of equivalent atoms:
Y 0.0000 0.0000 0.0000  4 Hg 3.05, 4 Cd 3.05
Cd 0.2500 0.2500 0.2500  4 Y 3.05, 4 Au 3.05
Hg 0.2500 0.2500 0.7500  4 Y 3.05, 4 Au 3.05
Au 0.0000 0.0000 0.5000  4 Hg 3.05, 4 Cd 3.05

- Energy above the most stable polymorph in this dataset: 0.134 eV per atom
- Size of the total moment: 0.0 μB per formula unit